First-principles (PBE-GGA) data for a geometry-optimized Nd4Ho3ErSe8 structure, as listed in the Alexandria database.

volume = 25.1 A^3/atom
D(E_F) = 8.7 states/eV/f.u.
ΔE_f (raw) = -1.78 eV/atom

Cell lengths 8.1787, 8.1787, 20.8280 Å; angles 90.00, 90.00, 120.00 degrees
Space group R-3m (No. 166, hexagonal axes)
Unique sites:
Nd: 0.0000 0.0000 0.0000 (multiplicity 3)
Nd: 0.0000 0.5000 0.0000 (multiplicity 9)
Ho: 0.0000 0.5000 0.5000 (multiplicity 9)
Er: 0.0000 0.0000 0.5000 (multiplicity 3)
Se: 0.0000 0.0000 0.2442 (multiplicity 6)
Se: 0.0012 0.5006 0.2440 (multiplicity 18)